Hf2TiSiO: optimized geometry, GGA-PBE.

Computed properties:
- mass density (g/cm³) = 9.65
- M_tot (μB per formula unit) = 0.00
- crystal system = tetragonal
- energy (eV per atom) = -8.72

abc: 4.414 4.414 3.967
angles: 90.00 90.00 90.00
Space group P4/mmm (No. 123)
One atom of each set of equivalent atoms:
Hf: 0.000 0.500 0.000 (multiplicity 2)
Ti: 0.000 0.000 0.500 (multiplicity 1)
Si: 0.500 0.500 0.500 (multiplicity 1)
O: 0.000 0.000 0.000 (multiplicity 1)

ScS: optimized geometry, GGA-PBE.

Computed properties:
- mass density (g/cm³) = 2.68
- M_tot (μB per formula unit) = 0.00
- crystal system = cubic
- energy (eV per atom) = -6.77

abc: 5.759 5.759 5.759
angles: 90.00 90.00 90.00
Space group F-43m (No. 216)
One atom of each set of equivalent atoms:
Sc: 0.000 0.000 0.000 (multiplicity 4)
S: 0.250 0.250 0.250 (multiplicity 4)

Ga3SiC: optimized geometry, GGA-PBE.

Computed properties:
- mass density (g/cm³) = 5.29
- distance to the lowest polymorph of the same formula (eV per formula unit) = 0.00
- M_tot (μB per formula unit) = 0.00
- crystal system = cubic
- energy (eV per atom) = -3.98

abc: 4.278 4.278 4.278
angles: 90.00 90.00 90.00
Space group Pm-3m (No. 221)
One atom of each set of equivalent atoms:
Ga: 0.000 0.000 0.500 (multiplicity 3)
Si: 0.500 0.500 0.500 (multiplicity 1)
C: 0.000 0.000 0.000 (multiplicity 1)

- Among the records above, which one has the highest mass density?
  Hf2TiSiO